[1]
A plane-wave DFT calculation with PBE was carried out for an optimized crystal structure of La3Nd4Se8.

Lattice parameters (Å, degrees): 8.4861 8.5176 8.5176 90.01 119.86 119.86
With the nearest neighbours (Å) after each atom.
Sites, in units of the cell vectors:
Nd: 0.5000 0.0000 0.0000  6 Se 2.99
Se: 0.9971 0.2495 0.2495  4 Nd 2.99-3.02, 1 La 3.03
Nd: 0.0000 0.0000 0.0000  6 Se 3.01-3.02
Se: 0.4996 0.2481 0.2481  2 Nd 2.99-3.01, 3 La 3.01-3.03
Se: 0.5000 0.2486 0.7514  3 Nd 2.99-3.01, 3 La 3.01-3.03
Se: 0.5000 0.7514 0.2486  3 Nd 2.99-3.01, 3 La 3.01-3.03
La: 0.5000 0.5000 0.5000  6 Se 3.03
La: 0.5000 0.0000 0.5000  6 Se 3.01
Nd: 0.0000 0.5000 0.0000  6 Se 3.01
Se: 0.0000 0.2504 0.7496  3 Nd 3.01-3.02, 2 La 3.01
Se: 0.0029 0.7505 0.7505  4 Nd 2.99-3.02, 1 La 3.03
La: 0.5000 0.5000 0.0000  6 Se 3.01
Nd: 0.0000 0.0000 0.5000  6 Se 3.01
Se: 0.0000 0.7496 0.2504  3 Nd 3.01-3.02, 2 La 3.01
Se: 0.5004 0.7519 0.7519  2 Nd 2.99-3.01, 3 La 3.01-3.03

Properties
- Fermi-level density of states (states/eV/f.u.) = 7.99
- SG = C2/m, No. 12
- total moment (Bohr magnetons per cell) = 0.00
- raw formation energy (eV/atom) = -1.9342


[2]
A plane-wave DFT calculation with PBE was carried out for an optimized crystal structure of UAl2Au.

Lattice parameters (Å, degrees): 2.8808 2.8808 8.5518 90.00 90.00 90.00
With the nearest neighbours (Å) after each atom.
Sites, in units of the cell vectors:
Au: 0.5000 0.5000 0.0000  8 Al 2.83, 4 Au 2.88
Al: 0.0000 0.0000 0.2290  4 Au 2.83, 4 Al 2.88, 4 U 3.09
Al: 0.0000 0.0000 0.7710  4 Au 2.83, 4 Al 2.88, 4 U 3.09
U: 0.5000 0.5000 0.5000  4 U 2.88, 8 Al 3.09

Properties
- Fermi-level density of states (states/eV/f.u.) = 4.00
- SG = P4/mmm, No. 123
- calculated formation energy (kJ per mole of atoms) = -19.09
- total moment (Bohr magnetons per cell) = 0.76